# 1
The following is a GGA-PBE calculation of a relaxed Nb2VCrH crystal, from Alexandria via LeMat-Bulk.

a = 4.417 Å, b = 4.417 Å, c = 3.294 Å
α = 90.00°, β = 90.00°, γ = 90.00°
Space group P4/mmm (No. 123)
Asymmetric unit:
Nb  0.000  0.500  0.000 x2
V  0.000  0.000  0.500 x1
Cr  0.500  0.500  0.500 x1
H  0.500  0.500  0.000 x1

Computed properties:
For the energy relative to the lowest polymorph listed for this composition, the calculation gives 0 meV/atom. Its volume is 12.85 Å³/atom. Its crystal system is tetragonal. The total energy is -8.44 eV per atom. As for the mass density: 7.49 Mg/m³.



# 2
The following is a GGA-PBE calculation of a relaxed Nb2CrHW crystal, from Alexandria via LeMat-Bulk.

a = 4.496 Å, b = 4.496 Å, c = 3.305 Å
α = 90.00°, β = 90.00°, γ = 90.00°
Space group P4/mmm (No. 123)
Asymmetric unit:
Nb  0.000  0.500  0.000 x2
Cr  0.000  0.000  0.500 x1
H  0.000  0.000  0.000 x1
W  0.500  0.500  0.500 x1

Computed properties:
Its volume is 13.36 Å³/atom. Its crystal system is tetragonal. The total energy is -9.23 eV per atom. As for the mass density: 10.51 Mg/m³.



# 3
The following is a GGA-PBE calculation of a relaxed Zr2NbCrH crystal, from Alexandria via LeMat-Bulk.

a = 4.716 Å, b = 4.716 Å, c = 3.534 Å
α = 90.00°, β = 90.00°, γ = 90.00°
Space group P4/mmm (No. 123)
Asymmetric unit:
Zr  0.000  0.500  0.000 x2
Nb  0.000  0.000  0.500 x1
Cr  0.500  0.500  0.500 x1
H  0.500  0.500  0.000 x1

Computed properties:
Its volume is 15.72 Å³/atom. Its crystal system is tetragonal. The total energy is -7.99 eV per atom. As for the mass density: 6.94 Mg/m³.



# 4
The following is a GGA-PBE calculation of a relaxed ZrNb2CrH crystal, from Alexandria via LeMat-Bulk.

a = 4.955 Å, b = 4.955 Å, c = 3.246 Å
α = 90.00°, β = 90.00°, γ = 90.00°
Space group P4/mmm (No. 123)
Asymmetric unit:
Zr  0.000  0.000  0.000 x1
Nb  0.000  0.500  0.500 x2
Cr  0.500  0.500  0.500 x1
H  0.500  0.500  0.000 x1

Computed properties:
Its volume is 15.94 Å³/atom. Its crystal system is tetragonal. The total energy is -7.66 eV per atom. As for the mass density: 6.88 Mg/m³.



# 5
The following is a GGA-PBE calculation of a relaxed CrNi5H7 crystal, from Alexandria via LeMat-Bulk.

a = 2.648 Å, b = 14.562 Å, c = 4.537 Å
α = 90.00°, β = 106.93°, γ = 90.00°
Space group P2_1/m (No. 11)
Asymmetric unit:
Cr  0.196  0.250  0.387 x2
Ni  0.000  0.000  0.000 x2
Ni  0.273  0.580  0.547 x4
Ni  0.457  0.153  0.912 x4
H  0.090  0.114  0.176 x4
H  0.181  0.682  0.364 x4
H  0.364  0.035  0.728 x4
H  0.448  0.750  0.901 x2

Computed properties:
Its volume is 6.44 Å³/atom. Its crystal system is monoclinic. The total energy is -4.78 eV per atom. As for the mass density: 6.99 Mg/m³.



# 6
The following is a GGA-PBE calculation of a relaxed Cr3NiH3 crystal, from Alexandria via LeMat-Bulk.

a = 3.720 Å, b = 3.720 Å, c = 3.720 Å
α = 90.00°, β = 90.00°, γ = 90.00°
Space group Pm-3m (No. 221)
Asymmetric unit:
Cr  0.000  0.000  0.500 x3
Ni  0.500  0.500  0.500 x1
H  0.000  0.500  0.500 x3

Computed properties:
For the energy relative to the lowest polymorph listed for this composition, the calculation gives 0 meV/atom. Its volume is 7.36 Å³/atom. Its crystal system is cubic. The total energy is -6.34 eV per atom. As for the mass density: 7.02 Mg/m³.



# 7
The following is a GGA-PBE calculation of a relaxed CrNi3H4 crystal, from Alexandria via LeMat-Bulk.

a = 5.329 Å, b = 7.606 Å, c = 2.621 Å
α = 90.00°, β = 90.00°, γ = 90.00°
Space group Cmmm (No. 65)
Asymmetric unit:
Cr  0.000  0.000  0.000 x2
Ni  0.000  0.500  0.000 x2
Ni  0.250  0.250  0.500 x4
H  0.000  0.253  0.000 x4
H  0.245  0.500  0.500 x4

Computed properties:
Its volume is 6.64 Å³/atom. Its crystal system is orthorhombic. The total energy is -5.04 eV per atom. As for the mass density: 7.26 Mg/m³.



# 8
The following is a GGA-PBE calculation of a relaxed Cr3NiH3 crystal, from Alexandria via LeMat-Bulk.

a = 4.4353 Å, b = 4.4353 Å, c = 19.5776 Å
α = 90.00°, β = 90.00°, γ = 120.00°
Space group R-3 (No. 148, hexagonal axes)
Asymmetric unit:
Cr  0.9997  0.3373  0.2797 x18
Ni  0.0000  0.0000  0.1670 x6
H  0.0011  0.3317  0.7794 x18

Computed properties:
For the energy relative to the lowest polymorph listed for this composition, the calculation gives 55 meV/atom. Its volume is 7.94 Å³/atom. Its crystal system is trigonal. The total energy is -6.28 eV per atom. As for the mass density: 6.50 Mg/m³.



# 9
The following is a GGA-PBE calculation of a relaxed CrNi4H4 crystal, from Alexandria via LeMat-Bulk.

a = 5.952 Å, b = 5.952 Å, c = 3.660 Å
α = 90.00°, β = 90.00°, γ = 90.00°
Space group I4/m (No. 87)
Asymmetric unit:
Cr  0.000  0.000  0.000 x2
Ni  0.103  0.296  0.500 x8
H  0.111  0.314  0.000 x8

Computed properties:
Its volume is 7.20 Å³/atom. Its crystal system is tetragonal. The total energy is -5.15 eV per atom. As for the mass density: 7.45 Mg/m³.



# 10
The following is a GGA-PBE calculation of a relaxed Cr2NiH crystal, from Alexandria via LeMat-Bulk.

a = 2.5575 Å, b = 2.5575 Å, c = 19.1591 Å
α = 90.00°, β = 90.00°, γ = 120.00°
Space group R-3m (No. 166, hexagonal axes)
Asymmetric unit:
Cr  0.0000  0.0000  0.2264 x6
Ni  0.0000  0.0000  0.0000 x3
H  0.0000  0.0000  0.5000 x3

Computed properties:
For the energy relative to the lowest polymorph listed for this composition, the calculation gives 6 meV/atom. Its volume is 9.04 Å³/atom. Its crystal system is trigonal. The total energy is -7.00 eV per atom. As for the mass density: 7.51 Mg/m³.



# 11
The following is a GGA-PBE calculation of a relaxed CrNi4H8 crystal, from Alexandria via LeMat-Bulk.

a = 5.0278 Å, b = 5.0278 Å, c = 9.8874 Å
α = 90.00°, β = 90.00°, γ = 120.00°
Space group P6_3/mmc (No. 194)
Asymmetric unit:
Cr  0.0000  0.0000  0.0000 x2
Ni  0.0000  0.0000  0.2500 x2
Ni  0.9998  0.4999  0.2500 x6
H  0.1658  0.3316  0.1499 x12
H  0.3333  0.6667  0.6577 x4

Computed properties:
Its volume is 8.33 Å³/atom. Its crystal system is hexagonal. The total energy is -4.41 eV per atom. As for the mass density: 4.52 Mg/m³.



# 12
The following is a GGA-PBE calculation of a relaxed Cr2Ni9H crystal, from Alexandria via LeMat-Bulk.

a = 3.510 Å, b = 3.510 Å, c = 10.345 Å
α = 90.00°, β = 90.00°, γ = 90.00°
Space group P4/mmm (No. 123)
Asymmetric unit:
Cr  0.000  0.000  0.177 x2
Ni  0.000  0.500  0.000 x2
Ni  0.000  0.500  0.345 x4
Ni  0.500  0.500  0.172 x2
Ni  0.500  0.500  0.500 x1
H  0.000  0.000  0.500 x1

Computed properties:
Its volume is 10.62 Å³/atom. Its crystal system is tetragonal. The total energy is -6.08 eV per atom. As for the mass density: 8.25 Mg/m³.



# 13
The following is a GGA-PBE calculation of a relaxed Cr3Ni2H4 crystal, from Alexandria via LeMat-Bulk.

a = 2.509 Å, b = 4.759 Å, c = 6.117 Å
α = 104.64°, β = 91.54°, γ = 96.24°
Space group P-1 (No. 2)
Asymmetric unit:
Cr  0.000  0.000  0.000 x1
Cr  0.301  0.856  0.325 x2
Ni  0.306  0.622  0.690 x2
H  0.221  0.266  0.491 x2
H  0.428  0.723  0.997 x2

Computed properties:
Its volume is 7.79 Å³/atom. Its crystal system is triclinic. The total energy is -5.83 eV per atom. As for the mass density: 6.57 Mg/m³.



# 14
The following is a GGA-PBE calculation of a relaxed Cr2NiH crystal, from Alexandria via LeMat-Bulk.

a = 5.533 Å, b = 5.533 Å, c = 4.933 Å
α = 90.00°, β = 90.00°, γ = 90.00°
Space group I-42d (No. 122)
Asymmetric unit:
Cr  0.159  0.250  0.125 x8
Ni  0.000  0.000  0.500 x4
H  0.000  0.000  0.000 x4

Computed properties:
For the energy relative to the lowest polymorph listed for this composition, the calculation gives 232 meV/atom. Its volume is 9.44 Å³/atom. Its crystal system is tetragonal. The total energy is -6.77 eV per atom. As for the mass density: 7.20 Mg/m³.



# 15
The following is a GGA-PBE calculation of a relaxed Cr2NiH2 crystal, from Alexandria via LeMat-Bulk.

a = 3.151 Å, b = 3.151 Å, c = 8.026 Å
α = 90.00°, β = 90.00°, γ = 90.00°
Space group I4/mmm (No. 139)
Asymmetric unit:
Cr  0.000  0.000  0.153 x4
Ni  0.000  0.000  0.500 x2
H  0.000  0.500  0.250 x4

Computed properties:
For the energy relative to the lowest polymorph listed for this composition, the calculation gives 0 meV/atom. Its volume is 7.97 Å³/atom. Its crystal system is tetragonal. The total energy is -6.19 eV per atom. As for the mass density: 6.86 Mg/m³.



# 16
The following is a GGA-PBE calculation of a relaxed Cr2NiH crystal, from Alexandria via LeMat-Bulk.

a = 5.426 Å, b = 5.426 Å, c = 5.426 Å
α = 90.00°, β = 90.00°, γ = 90.00°
Space group Fm-3m (No. 225)
Asymmetric unit:
Cr  0.250  0.250  0.250 x8
Ni  0.000  0.000  0.000 x4
H  0.000  0.000  0.500 x4

Computed properties:
For the energy relative to the lowest polymorph listed for this composition, the calculation gives 589 meV/atom. Its volume is 9.98 Å³/atom. Its crystal system is cubic. The total energy is -6.42 eV per atom. As for the mass density: 6.81 Mg/m³.



# 17
The following is a GGA-PBE calculation of a relaxed Cr2NiH2 crystal, from Alexandria via LeMat-Bulk.

a = 5.522 Å, b = 5.522 Å, c = 2.552 Å
α = 90.00°, β = 90.00°, γ = 90.00°
Space group P4/mbm (No. 127)
Asymmetric unit:
Cr  0.139  0.361  0.000 x4
Ni  0.000  0.000  0.500 x2
H  0.156  0.656  0.500 x4

Computed properties:
For the energy relative to the lowest polymorph listed for this composition, the calculation gives 48 meV/atom. Its volume is 7.78 Å³/atom. Its crystal system is tetragonal. The total energy is -6.14 eV per atom. As for the mass density: 7.03 Mg/m³.



# 18
The following is a GGA-PBE calculation of a relaxed Cr2NiH crystal, from Alexandria via LeMat-Bulk.

a = 2.5477 Å, b = 2.5477 Å, c = 19.2721 Å
α = 90.00°, β = 90.00°, γ = 120.00°
Space group R3m (No. 160, hexagonal axes)
Asymmetric unit:
Cr  0.0000  0.0000  0.0000 x3
Cr  0.0000  0.0000  0.2109 x3
Ni  0.0000  0.0000  0.7726 x3
H  0.0000  0.0000  0.6055 x3

Computed properties:
For the energy relative to the lowest polymorph listed for this composition, the calculation gives 0 meV/atom. Its volume is 9.03 Å³/atom. Its crystal system is trigonal. The total energy is -7.01 eV per atom. As for the mass density: 7.53 Mg/m³.



# 19
The following is a GGA-PBE calculation of a relaxed CrNi5H5 crystal, from Alexandria via LeMat-Bulk.

a = 8.325 Å, b = 3.745 Å, c = 5.241 Å
α = 90.00°, β = 108.07°, γ = 90.00°
Space group C2/m (No. 12)
Asymmetric unit:
Cr  0.000  0.000  0.000 x2
Ni  0.000  0.000  0.500 x2
Ni  0.164  0.500  0.334 x4
Ni  0.164  0.500  0.830 x4
H  0.000  0.500  0.000 x2
H  0.171  0.000  0.350 x4
H  0.173  0.000  0.821 x4

Computed properties:
Its volume is 7.06 Å³/atom. Its crystal system is monoclinic. The total energy is -5.05 eV per atom. As for the mass density: 7.49 Mg/m³.



# 20
The following is a GGA-PBE calculation of a relaxed CrNi4H5 crystal, from Alexandria via LeMat-Bulk.

a = 5.950 Å, b = 5.950 Å, c = 3.773 Å
α = 90.00°, β = 90.00°, γ = 90.00°
Space group I4/m (No. 87)
Asymmetric unit:
Cr  0.000  0.000  0.000 x2
Ni  0.102  0.299  0.500 x8
H  0.000  0.000  0.500 x2
H  0.103  0.313  0.000 x8

Computed properties:
Its volume is 6.68 Å³/atom. Its crystal system is tetragonal. The total energy is -4.98 eV per atom. As for the mass density: 7.25 Mg/m³.



# 21
The following is a GGA-PBE calculation of a relaxed CrNi8H6 crystal, from Alexandria via LeMat-Bulk.

a = 4.5208 Å, b = 4.5208 Å, c = 19.0030 Å
α = 90.00°, β = 90.00°, γ = 120.00°
Space group R-3 (No. 148, hexagonal axes)
Asymmetric unit:
Cr  0.0000  0.0000  0.0000 x3
Ni  0.0000  0.0000  0.3340 x6
Ni  0.0011  0.3308  0.8869 x18
H  0.0010  0.3421  0.0636 x18

Computed properties:
Its volume is 7.47 Å³/atom. Its crystal system is trigonal. The total energy is -5.08 eV per atom. As for the mass density: 7.81 Mg/m³.



# 22
The following is a GGA-PBE calculation of a relaxed Cr2Ni6H crystal, from Alexandria via LeMat-Bulk.

a = 5.084 Å, b = 5.084 Å, c = 7.149 Å
α = 90.00°, β = 90.00°, γ = 90.00°
Space group I4/mmm (No. 139)
Asymmetric unit:
Cr  0.000  0.500  0.250 x4
Ni  0.000  0.000  0.247 x4
Ni  0.247  0.247  0.000 x8
H  0.000  0.000  0.500 x2

Computed properties:
Its volume is 10.26 Å³/atom. Its crystal system is tetragonal. The total energy is -6.37 eV per atom. As for the mass density: 8.22 Mg/m³.



| no. | Fermi-level density of states (states/eV per cell) |
| --- | --- |
| 1 | 4.17 |
| 2 | 2.04 |
| 3 | 6.54 |
| 4 | 5.83 |
| 5 | 14.91 |
| 6 | 5.25 |
| 7 | 11.34 |
| 8 | 45.68 |
| 9 | 13.65 |
| 10 | 11.70 |
| 11 | 11.56 |
| 12 | 13.67 |
| 13 | 5.67 |
| 14 | 14.84 |
| 15 | 7.61 |
| 16 | 11.69 |
| 17 | 7.55 |
| 18 | 10.82 |
| 19 | 15.05 |
| 20 | 11.15 |
| 21 | 47.41 |
| 22 | 20.56 |